# FeHgMo2O8 (PBE with a Hubbard U, relaxed)
data_FeHgMo2O8
_space_group_name_H-M_alt 'P -3 m 1'
_space_group_IT_number 164
_space_group_name_Hall '-P 3 2"'
_cell_length_a 5.8029
_cell_length_b 5.8029
_cell_length_c 6.9909
_cell_angle_alpha 90.00
_cell_angle_beta 90.00
_cell_angle_gamma 120.00
loop_
_atom_site_label
_atom_site_type_symbol
_atom_site_fract_x
_atom_site_fract_y
_atom_site_fract_z
Fe1 Fe 0.0000 0.0000 0.0000
Hg1 Hg 0.0000 0.0000 0.5000
Mo1 Mo 0.3333 0.6667 0.2522
O1 O 0.1614 0.3228 0.1712
O2 O 0.3333 0.6667 0.5013
# Total moment in μB/cell: 4.0
# VASP energy in eV per atom: -6.2897